1.
The following is a DFT calculation (PBE with a Hubbard U) of a relaxed structure of MnPbI2O.

abc: 5.964 5.964 3.819
angles: 90.00 90.00 90.00
Positions (direct):
Mn 0.000 0.000 0.000
Pb 0.500 0.500 0.500
I 0.000 0.500 0.000
I 0.500 0.000 0.000
O 0.000 0.000 0.500

Results
Space group = No. 123
E = -4.41 eV/atom
Energy above the most stable polymorph in this dataset = 0.000 eV per atom

2.
The following is a DFT calculation (PBE with a Hubbard U) of a relaxed structure of MnPbIO6.

abc: 5.196 5.196 5.473
angles: 90.00 90.00 120.00
Positions (direct):
Mn 0.000 0.000 0.000
Pb 0.333 0.667 0.500
I 0.667 0.333 0.000
O 0.339 0.054 0.799
O 0.339 0.285 0.201
O 0.715 0.054 0.201
O 0.715 0.661 0.799
O 0.946 0.285 0.799
O 0.946 0.661 0.201

Results
Space group = No. 149
E = -5.52 eV/atom

3.
The following is a DFT calculation (PBE with a Hubbard U) of a relaxed structure of MnPbI2O.

abc: 6.164 6.164 4.232
angles: 90.00 90.00 90.00
Positions (direct):
Mn 0.000 0.000 0.000
Pb 0.500 0.500 0.500
I 0.000 0.500 0.500
I 0.500 0.000 0.500
O 0.500 0.500 0.000

Results
Space group = No. 123
E = -3.90 eV/atom
Energy above the most stable polymorph in this dataset = 0.508 eV per atom

4.
The following is a DFT calculation (PBE with a Hubbard U) of a relaxed structure of MnPdIO2.

abc: 3.783 3.783 7.033
angles: 90.00 90.00 90.00
Positions (direct):
Mn 0.000 0.000 0.000
Pd 0.500 0.500 0.500
I 0.000 0.000 0.500
O 0.000 0.500 0.000
O 0.500 0.000 0.000

Results
Space group = No. 123
E = -5.20 eV/atom
Energy above the most stable polymorph in this dataset = 0.000 eV per atom

5.
The following is a DFT calculation (PBE with a Hubbard U) of a relaxed structure of MnPdIO2.

abc: 4.103 4.103 5.369
angles: 90.00 90.00 90.00
Positions (direct):
Mn 0.000 0.000 0.000
Pd 0.500 0.500 0.500
I 0.500 0.500 0.000
O 0.000 0.500 0.500
O 0.500 0.000 0.500

Results
Space group = No. 123
E = -4.68 eV/atom
Energy above the most stable polymorph in this dataset = 0.518 eV per atom

6.
The following is a DFT calculation (PBE with a Hubbard U) of a relaxed structure of MnPdI2O.

abc: 5.695 5.695 3.649
angles: 90.00 90.00 90.00
Positions (direct):
Mn 0.000 0.000 0.000
Pd 0.500 0.500 0.500
I 0.000 0.500 0.000
I 0.500 0.000 0.000
O 0.000 0.000 0.500

Results
Space group = No. 123
E = -4.27 eV/atom
Energy above the most stable polymorph in this dataset = 0.000 eV per atom

7.
The following is a DFT calculation (PBE with a Hubbard U) of a relaxed structure of MnPdI2O.

abc: 5.630 5.630 3.931
angles: 90.00 90.00 90.00
Positions (direct):
Mn 0.000 0.000 0.000
Pd 0.500 0.500 0.500
I 0.000 0.500 0.500
I 0.500 0.000 0.500
O 0.500 0.500 0.000

Results
Space group = No. 123
E = -4.09 eV/atom
Energy above the most stable polymorph in this dataset = 0.175 eV per atom

8.
The following is a DFT calculation (PBE with a Hubbard U) of a relaxed structure of MnPdIO6.

abc: 5.267 5.267 9.291
angles: 90.00 90.00 120.00
Positions (direct):
Mn 0.000 0.000 0.000
Mn 0.000 0.000 0.500
Pd 0.333 0.667 0.250
Pd 0.667 0.333 0.750
I 0.333 0.667 0.750
I 0.667 0.333 0.250
O 0.025 0.367 0.634
O 0.025 0.658 0.866
O 0.342 0.367 0.866
O 0.342 0.975 0.634
O 0.367 0.025 0.134
O 0.367 0.342 0.366
O 0.633 0.658 0.634
O 0.633 0.975 0.866
O 0.658 0.025 0.366
O 0.658 0.633 0.134
O 0.975 0.342 0.134
O 0.975 0.633 0.366

Results
Space group = No. 163
E = -5.46 eV/atom